No. 1
Density functional theory data (PBE) for a relaxed structure of LaBe2In.

Lattice parameters (Å, degrees): 3.1558 3.1558 7.5628 90.00 90.00 90.00
Last column: nearest neighbours and their distance in Å.
Atoms (fractional coordinates):
La  0.0000  0.0000  0.0000  5 Be 3.03-3.15, 4 La 3.16
Be  0.0000  0.0000  0.4004  4 Be 2.37
Be  0.5000  0.5000  0.2932  4 Be 2.37, 1 In 2.66
In  0.5000  0.5000  0.6447  5 Be 2.66-2.90


No. 2
Density functional theory data (PBE) for a relaxed structure of LaBe2In.

Lattice parameters (Å, degrees): 3.3875 3.3875 6.8747 90.00 90.00 90.00
Last column: nearest neighbours and their distance in Å.
Atoms (fractional coordinates):
La  0.0000  0.0000  0.0000  8 Be 3.21, 4 La 3.39, 2 In 3.44
Be  0.5000  0.5000  0.3106  1 Be 2.60, 4 In 2.73
Be  0.5000  0.5000  0.6894  1 Be 2.60, 4 In 2.73
In  0.0000  0.0000  0.5000  8 Be 2.73


No. 3
Density functional theory data (PBE) for a relaxed structure of LaBe2In.

Lattice parameters (Å, degrees): 5.7983 5.7983 5.7983 42.26 42.26 42.26
Last column: nearest neighbours and their distance in Å.
Atoms (fractional coordinates):
La  0.0000  0.0000  0.0000  8 Be 3.18-3.21
Be  0.2028  0.2028  0.2028  3 In 2.48, 3 Be 2.67
Be  0.7972  0.7972  0.7972  3 In 2.48, 3 Be 2.67
In  0.5000  0.5000  0.5000  6 Be 2.48


Computed values of Fermi-level density of states (unit: states/eV per cell) for the preceding records, in sequence: 2.41; 2.35; 1.76.
Computed values of ΔH_f (0 K) (unit: kJ per mole of atoms) for the preceding records, in sequence: 19.8; 29.4; 0.1.
Computed values of magnetization (unit: μB per atom) for the preceding records, in sequence: 0.038; 0.000; 0.000.